An optimized crystal structure of Ac2Ga6Rh9, computed with PBE-GGA.

a = 5.755 Å, b = 5.755 Å, c = 11.351 Å
α = 90.00°, β = 90.00°, γ = 120.00°
Positions (direct):
Ac1 0.000 0.000 0.701
Ac2 0.000 0.000 0.299
Ga1 0.333 0.667 0.000
Ga2 0.667 0.333 0.000
Ga3 0.333 0.667 0.665
Ga4 0.667 0.333 0.665
Ga5 0.667 0.333 0.335
Ga6 0.333 0.667 0.335
Rh1 0.500 0.000 0.832
Rh2 0.000 0.500 0.832
Rh3 0.500 0.500 0.832
Rh4 0.500 0.000 0.168
Rh5 0.000 0.500 0.168
Rh6 0.500 0.500 0.168
Rh7 0.500 0.000 0.500
Rh8 0.000 0.500 0.500
Rh9 0.500 0.500 0.500

The crystal system is hexagonal. Its formation energy is -603 meV per atom. The value obtained for the uncorrected energy is -102.8 eV per cell. As for the space group: P6/mmm, No. 191.

***

An optimized crystal structure of Ac4GaRh2, computed with PBE-GGA.

a = 8.493 Å, b = 8.493 Å, c = 8.493 Å
α = 109.50°, β = 109.44°, γ = 109.47°
Positions (direct):
Ac1 0.916 0.227 0.311
Ac2 0.334 0.523 0.189
Ac3 0.916 0.605 0.689
Ac4 0.773 0.084 0.689
Ac5 0.395 0.084 0.311
Ac6 0.334 0.145 0.811
Ac7 0.477 0.666 0.811
Ac8 0.855 0.666 0.189
Ga1 0.250 0.750 0.500
Ga2 0.000 0.000 0.000
Rh1 0.625 0.375 0.750
Rh2 0.625 0.875 0.250
Rh3 0.625 0.375 0.250
Rh4 0.125 0.375 0.750

The crystal system is orthorhombic. Its formation energy is -466 meV per atom. The energy above the lowest structure with this stoichiometry is 60 meV per atom. The value obtained for the uncorrected energy is -74.9 eV per cell. As for the space group: Imma, No. 74.

***

An optimized crystal structure of Ac4Ga3Rh, computed with PBE-GGA.

a = 4.703 Å, b = 4.327 Å, c = 11.604 Å
α = 90.00°, β = 90.00°, γ = 90.00°
Positions (direct):
Ac1 0.500 0.500 0.348
Ac2 0.000 0.500 0.859
Ac3 0.000 0.000 0.137
Ac4 0.500 0.000 0.642
Rh1 0.500 0.500 0.077
Ga1 0.000 0.500 0.566
Ga2 0.000 0.000 0.430
Ga3 0.500 0.000 0.941

The crystal system is orthorhombic. Its formation energy is -550 meV per atom. The value obtained for the uncorrected energy is -37.3 eV per cell. As for the space group: Pmm2, No. 25.

***

An optimized crystal structure of Ac2Ga5Rh3, computed with PBE-GGA.

a = 5.961 Å, b = 8.847 Å, c = 8.847 Å
α = 72.45°, β = 70.31°, γ = 70.31°
Positions (direct):
Ac1 0.137 0.589 0.138
Ac2 0.637 0.138 0.589
Ac3 0.863 0.411 0.862
Ac4 0.363 0.862 0.411
Ga1 0.406 0.254 0.935
Ga2 0.906 0.935 0.254
Ga3 0.594 0.746 0.065
Ga4 0.094 0.065 0.746
Ga5 0.461 0.789 0.789
Ga6 0.539 0.211 0.211
Ga7 0.750 0.500 0.500
Ga8 0.250 0.500 0.500
Ga9 0.039 0.211 0.211
Ga10 0.961 0.789 0.789
Rh1 0.357 0.544 0.743
Rh2 0.857 0.743 0.544
Rh3 0.643 0.456 0.257
Rh4 0.143 0.257 0.456
Rh5 0.250 0.000 0.000
Rh6 0.750 0.000 0.000

The crystal system is orthorhombic. Its formation energy is -748 meV per atom. The value obtained for the uncorrected energy is -105.8 eV per cell. As for the space group: Ibam, No. 72.

***

An optimized crystal structure of AcGa2Rh2, computed with PBE-GGA.

a = 5.890 Å, b = 5.890 Å, c = 7.452 Å
α = 101.85°, β = 101.85°, γ = 118.59°
Positions (direct):
Ac1 0.875 0.625 0.750
Ac2 0.125 0.375 0.250
Ga1 0.264 0.015 0.528
Ga2 0.515 0.764 0.028
Ga3 0.736 0.985 0.472
Ga4 0.485 0.236 0.972
Rh1 0.176 0.324 0.750
Rh2 0.427 0.073 0.250
Rh3 0.573 0.927 0.750
Rh4 0.824 0.676 0.250

The crystal system is monoclinic. Its formation energy is -661 meV per atom. The energy above the lowest structure with this stoichiometry is 137 meV per atom. The value obtained for the uncorrected energy is -56.3 eV per cell. As for the space group: C2/c, No. 15.

***

An optimized crystal structure of AcGa11Rh, computed with PBE-GGA.

a = 5.206 Å, b = 8.054 Å, c = 6.770 Å
α = 83.02°, β = 67.39°, γ = 71.57°
Positions (direct):
Ac1 0.000 0.000 0.000
Ga1 0.267 0.240 0.223
Ga2 0.733 0.760 0.777
Ga3 0.510 0.760 0.223
Ga4 0.490 0.240 0.777
Ga5 0.376 0.631 0.650
Ga6 0.624 0.369 0.350
Ga7 0.975 0.369 0.650
Ga8 0.025 0.631 0.350
Ga9 0.000 0.500 0.000
Ga10 0.500 0.000 0.500
Ga11 0.000 0.000 0.500
Rh1 0.500 0.500 0.000

The crystal system is monoclinic. Its formation energy is -259 meV per atom. The value obtained for the uncorrected energy is -48.1 eV per cell. As for the space group: C2/m, No. 12.

***

An optimized crystal structure of Ac6GaRh4, computed with PBE-GGA.

a = 4.288 Å, b = 7.516 Å, c = 22.051 Å
α = 90.00°, β = 90.00°, γ = 106.57°
Positions (direct):
Ac1 0.500 0.000 0.000
Ac2 0.500 0.000 0.500
Ac3 0.042 0.084 0.343
Ac4 0.958 0.916 0.657
Ac5 0.958 0.916 0.843
Ac6 0.042 0.084 0.157
Ac7 0.770 0.540 0.416
Ac8 0.230 0.460 0.584
Ac9 0.230 0.460 0.916
Ac10 0.770 0.540 0.084
Ac11 0.332 0.664 0.250
Ac12 0.668 0.336 0.750
Ga1 0.658 0.316 0.250
Ga2 0.342 0.684 0.750
Rh1 0.862 0.724 0.543
Rh2 0.402 0.805 0.129
Rh3 0.138 0.276 0.457
Rh4 0.598 0.195 0.871
Rh5 0.862 0.724 0.957
Rh6 0.138 0.276 0.043
Rh7 0.598 0.195 0.629
Rh8 0.402 0.805 0.371

The crystal system is orthorhombic. Its formation energy is -584 meV per atom. The value obtained for the uncorrected energy is -127.0 eV per cell. As for the space group: Cmcm, No. 63.

***

An optimized crystal structure of AcGaRh2, computed with PBE-GGA.

a = 4.403 Å, b = 4.399 Å, c = 9.050 Å
α = 104.07°, β = 90.00°, γ = 90.00°
Positions (direct):
Ac1 0.000 0.856 0.712
Ac2 0.000 0.144 0.288
Ga1 0.500 0.575 0.151
Ga2 0.500 0.425 0.849
Rh1 0.000 0.500 0.000
Rh2 0.500 0.000 0.000
Rh3 0.500 0.715 0.430
Rh4 0.500 0.285 0.570

The crystal system is orthorhombic. Its formation energy is -668 meV per atom. The value obtained for the uncorrected energy is -49.0 eV per cell. As for the space group: Cmmm, No. 65.